VASP calculation (PBE with a Hubbard U) on crystalline LiCoIO2 at its relaxed geometry. Values from VASP.

```
&SYSTEM
  ibrav = 0, nat = 5, ntyp = 4
/
ATOMIC_SPECIES
Co 58.93 Co.upf
I 126.90 I.upf
O 16.00 O.upf
Li 6.94 Li.upf
CELL_PARAMETERS angstrom
3.843 0.000 0.000
0.000 3.843 0.000
0.000 0.000 5.741
ATOMIC_POSITIONS crystal
Co 0.500 0.500 0.500
I 0.000 0.000 0.500
O 0.500 0.000 0.000
O 0.000 0.500 0.000
Li 0.000 0.000 0.000
```

Computed properties:
Its space group is P4/mmm. The size of the total moment is 0.97 μB per atom. For the uncorrected energy, the calculation gives -3.45 eV per atom.